# Li2GePb, relaxed, DFT GGA-PBE
# - DFT formation energy (kJ/mol of atoms) = -12
# - relative energy among the computed polymorphs (kcal/mol of atoms) = 2.01
# - D(E_F) (states/eV per cell) = 4.49
# - crystal system = trigonal
# - calculated total energy (eV per atom) = -3.161
data_Li2GePb
_space_group_name_H-M_alt 'R 3 m'
_space_group_IT_number 160
_space_group_name_Hall 'R 3 -2"'
_cell_length_a 3.2297
_cell_length_b 3.2297
_cell_length_c 27.4018
_cell_angle_alpha 90.00
_cell_angle_beta 90.00
_cell_angle_gamma 120.00
loop_
_atom_site_label
_atom_site_type_symbol
_atom_site_fract_x
_atom_site_fract_y
_atom_site_fract_z
_atom_site_occupancy
Li1 Li 0.0000 0.0000 0.0000 1
Li2 Li 0.0000 0.0000 0.1846 1
Ge1 Ge 0.0000 0.0000 0.5920 1
Pb1 Pb 0.0000 0.0000 0.4264 1

---

# NaSi2Pt2, relaxed, DFT GGA-PBE
# - relative energy among the computed polymorphs (kcal/mol of atoms) = 0.59
# - formation energy from raw total energies (eV/atom) = -0.602
# - D(E_F) (states/eV per cell) = 4.79
# - crystal system = tetragonal
# - calculated total energy (eV per atom) = -5.451
data_NaSi2Pt2
_space_group_name_H-M_alt 'I 4/m m m'
_space_group_IT_number 139
_space_group_name_Hall '-I 4 2'
_cell_length_a 4.187
_cell_length_b 4.187
_cell_length_c 9.856
_cell_angle_alpha 90.00
_cell_angle_beta 90.00
_cell_angle_gamma 90.00
loop_
_atom_site_label
_atom_site_type_symbol
_atom_site_fract_x
_atom_site_fract_y
_atom_site_fract_z
_atom_site_occupancy
Na1 Na 0.000 0.000 0.000 1
Si1 Si 0.000 0.000 0.379 1
Pt1 Pt 0.000 0.500 0.250 1

---

# CoSbOs2, relaxed, DFT GGA-PBE
# - relative energy among the computed polymorphs (kcal/mol of atoms) = 0.00
# - formation energy from raw total energies (eV/atom) = 0.444
# - D(E_F) (states/eV per cell) = 7.57
# - crystal system = monoclinic
# - calculated total energy (eV per atom) = -7.978
data_CoSbOs2
_space_group_name_H-M_alt 'C 1 2/m 1'
_space_group_IT_number 12
_space_group_name_Hall '-C 2y'
_cell_length_a 8.752
_cell_length_b 2.908
_cell_length_c 4.832
_cell_angle_alpha 90.00
_cell_angle_beta 100.10
_cell_angle_gamma 90.00
loop_
_atom_site_label
_atom_site_type_symbol
_atom_site_fract_x
_atom_site_fract_y
_atom_site_fract_z
_atom_site_occupancy
Co1 Co 0.000 0.000 0.000 1
Sb1 Sb 0.000 0.500 0.500 1
Os1 Os 0.237 0.500 0.217 1

---

# Hf4As2N, relaxed, DFT GGA-PBE
# - relative energy among the computed polymorphs (kcal/mol of atoms) = 0.00
# - formation energy from raw total energies (eV/atom) = -0.925
# - D(E_F) (states/eV per cell) = 6.64
# - crystal system = monoclinic
# - calculated total energy (eV per atom) = -9.131
data_Hf4As2N
_space_group_name_H-M_alt 'C 1 2/m 1'
_space_group_IT_number 12
_space_group_name_Hall '-C 2y'
_cell_length_a 13.309
_cell_length_b 3.427
_cell_length_c 6.156
_cell_angle_alpha 90.00
_cell_angle_beta 115.60
_cell_angle_gamma 90.00
loop_
_atom_site_label
_atom_site_type_symbol
_atom_site_fract_x
_atom_site_fract_y
_atom_site_fract_z
_atom_site_occupancy
Hf1 Hf 0.095 0.000 0.408 1
Hf2 Hf 0.105 0.500 0.956 1
As1 As 0.239 0.500 0.734 1
N1 N 0.000 0.000 0.000 1

---

# Na2ScIr3O12, relaxed, DFT GGA-PBE
# - formation energy from raw total energies (eV/atom) = -1.089
# - D(E_F) (states/eV per cell) = 23.25
# - crystal system = trigonal
# - calculated total energy (eV per atom) = -6.369
data_Na2ScIr3O12
_space_group_name_H-M_alt 'R -3 m'
_space_group_IT_number 166
_space_group_name_Hall '-R 3 2"'
_cell_length_a 7.2604
_cell_length_b 7.2604
_cell_length_c 18.3966
_cell_angle_alpha 90.00
_cell_angle_beta 90.00
_cell_angle_gamma 120.00
loop_
_atom_site_label
_atom_site_type_symbol
_atom_site_fract_x
_atom_site_fract_y
_atom_site_fract_z
_atom_site_occupancy
Na1 Na 0.0000 0.0000 0.1948 1
Sc1 Sc 0.0000 0.0000 0.5000 1
Ir1 Ir 0.0000 0.5000 0.0000 1
O1 O 0.0616 0.5308 0.1007 1
O2 O 0.0746 0.5373 0.3527 1

---

# CrIn2Ru, relaxed, DFT GGA-PBE
# - DFT formation energy (kJ/mol of atoms) = 41
# - relative energy among the computed polymorphs (kcal/mol of atoms) = 6.38
# - D(E_F) (states/eV per cell) = 21.50
# - crystal system = cubic
# - calculated total energy (eV per atom) = -5.671
data_CrIn2Ru
_space_group_name_H-M_alt 'F -4 3 m'
_space_group_IT_number 216
_space_group_name_Hall 'F -4 2 3'
_cell_length_a 6.565
_cell_length_b 6.565
_cell_length_c 6.565
_cell_angle_alpha 90.00
_cell_angle_beta 90.00
_cell_angle_gamma 90.00
loop_
_atom_site_label
_atom_site_type_symbol
_atom_site_fract_x
_atom_site_fract_y
_atom_site_fract_z
_atom_site_occupancy
Cr1 Cr 0.000 0.000 0.000 1
In1 In 0.000 0.000 0.500 1
In2 In 0.250 0.250 0.750 1
Ru1 Ru 0.250 0.250 0.250 1

---

# KRbTl2I4, relaxed, DFT GGA-PBE
# - formation energy from raw total energies (eV/atom) = -1.072
# - D(E_F) (states/eV per cell) = 0.00
# - crystal system = monoclinic
# - calculated total energy (eV per atom) = -2.697
data_KRbTl2I4
_space_group_name_H-M_alt 'P 1 2/m 1'
_space_group_IT_number 10
_space_group_name_Hall '-P 2y'
_cell_length_a 8.832
_cell_length_b 5.100
_cell_length_c 8.840
_cell_angle_alpha 90.00
_cell_angle_beta 109.45
_cell_angle_gamma 90.00
loop_
_atom_site_label
_atom_site_type_symbol
_atom_site_fract_x
_atom_site_fract_y
_atom_site_fract_z
_atom_site_occupancy
K1 K 0.000 0.000 0.000 1
Rb1 Rb 0.500 0.500 0.000 1
Tl1 Tl 0.000 0.500 0.500 1
Tl2 Tl 0.500 0.000 0.500 1
I1 I 0.241 0.000 0.743 1
I2 I 0.246 0.500 0.254 1

---

# BaCa2TlPd, relaxed, DFT GGA-PBE
# - DFT formation energy (kJ/mol of atoms) = -31
# - relative energy among the computed polymorphs (kcal/mol of atoms) = 0.48
# - D(E_F) (states/eV per cell) = 4.52
# - crystal system = tetragonal
# - calculated total energy (eV per atom) = -3.014
data_BaCa2TlPd
_space_group_name_H-M_alt 'P 4/m m m'
_space_group_IT_number 123
_space_group_name_Hall '-P 4 2'
_cell_length_a 5.615
_cell_length_b 5.615
_cell_length_c 6.113
_cell_angle_alpha 90.00
_cell_angle_beta 90.00
_cell_angle_gamma 90.00
loop_
_atom_site_label
_atom_site_type_symbol
_atom_site_fract_x
_atom_site_fract_y
_atom_site_fract_z
_atom_site_occupancy
Ba1 Ba 0.000 0.000 0.000 1
Ca1 Ca 0.000 0.500 0.500 1
Tl1 Tl 0.500 0.500 0.000 1
Pd1 Pd 0.000 0.000 0.500 1

---

# K2AgRuO6, relaxed, DFT GGA-PBE
# - formation energy from raw total energies (eV/atom) = -0.698
# - D(E_F) (states/eV per cell) = 2.39
# - crystal system = trigonal
# - calculated total energy (eV per atom) = -5.105
data_K2AgRuO6
_space_group_name_H-M_alt 'P -3 m 1'
_space_group_IT_number 164
_space_group_name_Hall '-P 3 2"'
_cell_length_a 6.0181
_cell_length_b 6.0181
_cell_length_c 5.5278
_cell_angle_alpha 90.00
_cell_angle_beta 90.00
_cell_angle_gamma 120.00
loop_
_atom_site_label
_atom_site_type_symbol
_atom_site_fract_x
_atom_site_fract_y
_atom_site_fract_z
_atom_site_occupancy
K1 K 0.3333 0.6667 0.1958 1
Ag1 Ag 0.0000 0.0000 0.5000 1
Ru1 Ru 0.0000 0.0000 0.0000 1
O1 O 0.1465 0.2930 0.7886 1

---

# SiTc2W, relaxed, DFT GGA-PBE
# - formation energy from raw total energies (eV/atom) = 0.589
# - D(E_F) (states/eV per cell) = 20.69
# - crystal system = tetragonal
# - calculated total energy (eV per atom) = -9.188
data_SiTc2W
_space_group_name_H-M_alt 'I -4 2 d'
_space_group_IT_number 122
_space_group_name_Hall 'I -4 2bw'
_cell_length_a 6.745
_cell_length_b 6.745
_cell_length_c 5.487
_cell_angle_alpha 90.00
_cell_angle_beta 90.00
_cell_angle_gamma 90.00
loop_
_atom_site_label
_atom_site_type_symbol
_atom_site_fract_x
_atom_site_fract_y
_atom_site_fract_z
_atom_site_occupancy
Si1 Si 0.000 0.000 0.000 1
Tc1 Tc 0.214 0.750 0.125 1
W1 W 0.000 0.000 0.500 1

---

# AcCe2S4, relaxed, DFT GGA-PBE
# - formation energy from raw total energies (eV/atom) = -2.030
# - D(E_F) (states/eV per cell) = 55.29
# - crystal system = orthorhombic
# - calculated total energy (eV per atom) = -6.671
data_AcCe2S4
_space_group_name_H-M_alt 'C m c m'
_space_group_IT_number 63
_space_group_name_Hall '-C 2c 2'
_cell_length_a 4.067
_cell_length_b 13.548
_cell_length_c 13.564
_cell_angle_alpha 90.00
_cell_angle_beta 90.00
_cell_angle_gamma 90.00
loop_
_atom_site_label
_atom_site_type_symbol
_atom_site_fract_x
_atom_site_fract_y
_atom_site_fract_z
_atom_site_occupancy
Ac1 Ac 0.000 0.119 0.250 1
Ce1 Ce 0.000 0.369 0.065 1
S1 S 0.000 0.000 0.000 1
S2 S 0.000 0.272 0.621 1
S3 S 0.000 0.460 0.250 1

---

# HfRh2S2, relaxed, DFT GGA-PBE
# - relative energy among the computed polymorphs (kcal/mol of atoms) = 6.43
# - formation energy from raw total energies (eV/atom) = -0.197
# - D(E_F) (states/eV per cell) = 8.57
# - crystal system = tetragonal
# - calculated total energy (eV per atom) = -6.780
data_HfRh2S2
_space_group_name_H-M_alt 'I 4/m m m'
_space_group_IT_number 139
_space_group_name_Hall '-I 4 2'
_cell_length_a 3.769
_cell_length_b 3.769
_cell_length_c 11.117
_cell_angle_alpha 90.00
_cell_angle_beta 90.00
_cell_angle_gamma 90.00
loop_
_atom_site_label
_atom_site_type_symbol
_atom_site_fract_x
_atom_site_fract_y
_atom_site_fract_z
_atom_site_occupancy
Hf1 Hf 0.000 0.000 0.000 1
Rh1 Rh 0.000 0.500 0.250 1
S1 S 0.000 0.000 0.384 1